(1)
Zn2ClF3, relaxed, DFT PBE-GGA; crystal system = trigonal; offset from the most stable computed form = 0.000 eV per atom; raw formation energy = -1.958 eV per atom
1.0
6.509 0.000 0.000
-3.254 5.637 0.000
0.000 0.000 5.379
Zn Cl F
4 2 6
direct
0.000 0.000 0.000 Zn
0.000 0.500 0.000 Zn
0.500 0.000 0.000 Zn
0.500 0.500 0.000 Zn
0.333 0.667 0.282 Cl
0.667 0.333 0.718 Cl
0.167 0.334 0.825 F
0.167 0.833 0.825 F
0.334 0.167 0.175 F
0.666 0.833 0.825 F
0.833 0.167 0.175 F
0.833 0.666 0.175 F


(2)
Zn5Cl3F12, relaxed, DFT PBE-GGA; crystal system = cubic; raw formation energy = -1.496 eV per atom
1.0
-6.842 6.842 6.842
6.842 -6.842 6.842
6.842 6.842 -6.842
Zn Cl F
20 12 48
direct
0.000 0.000 0.000 Zn
0.000 0.000 0.500 Zn
0.000 0.500 0.000 Zn
0.000 0.500 0.500 Zn
0.125 0.750 0.875 Zn
0.125 0.875 0.250 Zn
0.250 0.125 0.875 Zn
0.250 0.625 0.375 Zn
0.375 0.250 0.625 Zn
0.375 0.625 0.750 Zn
0.500 0.000 0.000 Zn
0.500 0.000 0.500 Zn
0.500 0.500 0.000 Zn
0.500 0.500 0.500 Zn
0.625 0.375 0.250 Zn
0.625 0.750 0.375 Zn
0.750 0.375 0.625 Zn
0.750 0.875 0.125 Zn
0.875 0.125 0.750 Zn
0.875 0.250 0.125 Zn
0.125 0.250 0.375 Cl
0.125 0.375 0.750 Cl
0.250 0.375 0.125 Cl
0.250 0.875 0.625 Cl
0.375 0.125 0.250 Cl
0.375 0.750 0.125 Cl
0.625 0.250 0.875 Cl
0.625 0.875 0.750 Cl
0.750 0.125 0.375 Cl
0.750 0.625 0.875 Cl
0.875 0.625 0.250 Cl
0.875 0.750 0.625 Cl
0.007 0.678 0.120 F
0.007 0.829 0.886 F
0.058 0.671 0.678 F
0.058 0.886 0.380 F
0.114 0.620 0.942 F
0.114 0.993 0.171 F
0.120 0.007 0.678 F
0.120 0.614 0.442 F
0.171 0.114 0.993 F
0.171 0.558 0.178 F
0.178 0.171 0.558 F
0.178 0.507 0.620 F
0.322 0.880 0.993 F
0.322 0.942 0.329 F
0.329 0.322 0.942 F
0.329 0.507 0.386 F
0.380 0.058 0.886 F
0.380 0.822 0.493 F
0.386 0.329 0.507 F
0.386 0.558 0.880 F
0.442 0.120 0.614 F
0.442 0.822 0.829 F
0.493 0.380 0.822 F
0.493 0.614 0.671 F
0.507 0.386 0.329 F
0.507 0.620 0.178 F
0.558 0.178 0.171 F
0.558 0.880 0.386 F
0.614 0.442 0.120 F
0.614 0.671 0.493 F
0.620 0.178 0.507 F
0.620 0.942 0.114 F
0.671 0.493 0.614 F
0.671 0.678 0.058 F
0.678 0.058 0.671 F
0.678 0.120 0.007 F
0.822 0.493 0.380 F
0.822 0.829 0.442 F
0.829 0.442 0.822 F
0.829 0.886 0.007 F
0.880 0.386 0.558 F
0.880 0.993 0.322 F
0.886 0.007 0.829 F
0.886 0.380 0.058 F
0.942 0.114 0.620 F
0.942 0.329 0.322 F
0.993 0.171 0.114 F
0.993 0.322 0.880 F


(3)
Zn3ClF, relaxed, DFT PBE-GGA; crystal system = cubic; offset from the most stable computed form = 0.373 eV per atom; raw formation energy = 0.222 eV per atom
1.0
5.233 0.000 0.000
0.000 5.233 0.000
0.000 0.000 5.233
Zn Cl F
3 1 1
direct
0.000 0.000 0.500 Zn
0.000 0.500 0.000 Zn
0.500 0.000 0.000 Zn
0.000 0.000 0.000 Cl
0.500 0.500 0.500 F


(4)
Zn2ClF, relaxed, DFT PBE-GGA; crystal system = cubic; offset from the most stable computed form = 0.313 eV per atom; raw formation energy = -0.455 eV per atom
1.0
0.000 3.210 3.210
3.210 0.000 3.210
3.210 3.210 0.000
Zn Cl F
2 1 1
direct
0.250 0.250 0.250 Zn
0.750 0.750 0.750 Zn
0.000 0.000 0.000 Cl
0.500 0.500 0.500 F


(5)
Zn2ClF3, relaxed, DFT PBE-GGA; crystal system = orthorhombic; offset from the most stable computed form = 0.003 eV per atom; raw formation energy = -1.955 eV per atom
1.0
3.425 -3.944 0.000
3.425 3.944 0.000
0.000 0.000 6.383
Zn Cl F
4 2 6
direct
0.000 0.000 0.000 Zn
0.000 0.000 0.500 Zn
0.444 0.556 0.750 Zn
0.556 0.444 0.250 Zn
0.206 0.794 0.250 Cl
0.794 0.206 0.750 Cl
0.188 0.812 0.750 F
0.314 0.314 0.000 F
0.314 0.314 0.500 F
0.686 0.686 0.000 F
0.686 0.686 0.500 F
0.812 0.188 0.250 F


(6)
Zn2ClF, relaxed, DFT PBE-GGA; crystal system = tetragonal; offset from the most stable computed form = 0.000 eV per atom; raw formation energy = -0.768 eV per atom
1.0
-2.369 2.369 7.095
2.369 -2.369 7.095
2.369 2.369 -7.095
Zn Cl F
4 2 2
direct
0.013 0.625 0.888 Zn
0.375 0.263 0.388 Zn
0.737 0.125 0.112 Zn
0.875 0.987 0.612 Zn
0.250 0.750 0.500 Cl
0.500 0.500 0.000 Cl
0.000 0.000 0.000 F
0.750 0.250 0.500 F


Per-record size of the total moment, μB per formula unit: 0.00 5.00 0.00 0.00 0.00 0.00
Per-record E, eV/atom: -3.626 -3.214 -1.286 -2.021 -3.623 -2.335